Below is an optimized crystal structure of ThAl4Ni4, with properties calculated at the PBE-GGA level.

Its formation energy is -410 meV/atom. For the density of states at the Fermi level, the calculation gives 0.66 states/eV/atom.

Unit cell a=4.4342 b=8.1657 c=8.1657 alpha=90.00 beta=90.00 gamma=90.00
With the nearest neighbours (Å) after each atom.
Positions (direct):
Al  0.5000  0.0983  0.3748  5 Ni 2.34-2.59, 1 Al 2.60
Al  0.0000  0.8748  0.4017  5 Ni 2.34-2.59, 1 Al 2.60
Al  0.5000  0.6252  0.0983  5 Ni 2.34-2.59, 1 Al 2.60
Al  0.0000  0.4017  0.1252  5 Ni 2.34-2.59, 1 Al 2.60
Al  0.0000  0.5983  0.8748  5 Ni 2.34-2.59, 1 Al 2.60
Al  0.5000  0.9017  0.6252  5 Ni 2.34-2.59, 1 Al 2.60
Al  0.5000  0.3748  0.9017  5 Ni 2.34-2.59, 1 Al 2.60
Al  0.0000  0.1252  0.5983  5 Ni 2.34-2.59, 1 Al 2.60
Ni  0.5000  0.3256  0.2008  5 Al 2.34-2.59
Ni  0.5000  0.6744  0.7992  5 Al 2.34-2.59
Ni  0.0000  0.8256  0.7008  5 Al 2.34-2.59
Ni  0.0000  0.7008  0.1744  5 Al 2.34-2.59
Ni  0.0000  0.2992  0.8256  5 Al 2.34-2.59
Ni  0.5000  0.7992  0.3256  5 Al 2.34-2.59
Ni  0.5000  0.2008  0.6744  5 Al 2.34-2.59
Ni  0.0000  0.1744  0.2992  5 Al 2.34-2.59
Th  0.0000  0.0000  0.0000  4 Ni 2.83
Th  0.5000  0.5000  0.5000  4 Ni 2.83

Below is an optimized crystal structure of Th2AlNi4, with properties calculated at the PBE-GGA level.

Its formation energy is -312 meV/atom. Its excess energy over the best structure of this formula in the dataset is 7 meV per atom. For the density of states at the Fermi level, the calculation gives 0.94 states/eV/atom.

Unit cell a=5.5583 b=5.5583 c=5.8602 alpha=118.71 beta=118.71 gamma=89.27
With the nearest neighbours (Å) after each atom.
Positions (direct):
Al  0.0000  0.0000  0.0000  4 Ni 2.37-2.55
Ni  0.3225  0.3226  0.0000  2 Ni 2.41, 1 Al 2.55
Ni  0.2736  0.2736  0.5472  1 Al 2.37, 2 Ni 2.41
Ni  0.7264  0.7264  0.4528  1 Al 2.37, 2 Ni 2.41
Ni  0.6774  0.6775  0.0000  2 Ni 2.41, 1 Al 2.55
Th  0.7500  0.2500  0.5000  8 Ni 2.79-2.97
Th  0.2500  0.7500  0.5000  8 Ni 2.79-2.97

Below is an optimized crystal structure of Th2AlNi, with properties calculated at the PBE-GGA level.

Its formation energy is -345 meV/atom. Its excess energy over the best structure of this formula in the dataset is 0 meV per atom. For the density of states at the Fermi level, the calculation gives 0.98 states/eV/atom.

Unit cell a=3.6777 b=6.2160 c=8.8701 alpha=110.27 beta=90.00 gamma=90.00
With the nearest neighbours (Å) after each atom.
Positions (direct):
Th  0.7500  0.2144  0.4513  2 Ni 2.89, 3 Al 3.17-3.23
Th  0.2500  0.7856  0.5487  2 Ni 2.89, 3 Al 3.17-3.23
Th  0.7500  0.1958  0.9004  2 Ni 2.84, 2 Al 3.18
Th  0.2500  0.8042  0.0996  2 Ni 2.84, 2 Al 3.18
Al  0.7500  0.6401  0.7884  2 Ni 2.47
Al  0.2500  0.3599  0.2116  2 Ni 2.47
Ni  0.2500  0.3569  0.7190  2 Al 2.47
Ni  0.7500  0.6431  0.2810  2 Al 2.47

Below is an optimized crystal structure of Th2Al2Ni15, with properties calculated at the PBE-GGA level.

Its formation energy is -355 meV/atom. For the density of states at the Fermi level, the calculation gives 1.46 states/eV/atom.

Unit cell a=6.3594 b=6.3594 c=6.3594 alpha=81.94 beta=81.94 gamma=81.94
With the nearest neighbours (Å) after each atom.
Positions (direct):
Ni  0.8493  0.3441  0.3441  8 Ni 2.40-2.58, 1 Al 2.57
Ni  0.2941  0.0000  0.7059  8 Ni 2.43-2.58
Ni  0.7059  0.0000  0.2941  8 Ni 2.43-2.58
Ni  0.3441  0.8493  0.3441  8 Ni 2.40-2.58, 1 Al 2.57
Ni  0.0000  0.5000  0.0000  8 Ni 2.40-2.43, 2 Al 2.54
Ni  0.5000  0.0000  0.0000  8 Ni 2.40-2.43, 2 Al 2.54
Ni  0.7059  0.2941  0.0000  8 Ni 2.43-2.58
Ni  0.6559  0.1507  0.6559  8 Ni 2.40-2.58, 1 Al 2.57
Ni  0.3441  0.3441  0.8493  8 Ni 2.40-2.58, 1 Al 2.57
Ni  0.0000  0.7059  0.2941  8 Ni 2.43-2.58
Ni  0.1507  0.6559  0.6559  8 Ni 2.40-2.58, 1 Al 2.57
Ni  0.0000  0.2941  0.7059  8 Ni 2.43-2.58
Ni  0.2941  0.7059  0.0000  8 Ni 2.43-2.58
Ni  0.6559  0.6559  0.1507  8 Ni 2.40-2.58, 1 Al 2.57
Ni  0.0000  0.0000  0.5000  8 Ni 2.40-2.43, 2 Al 2.54
Al  0.1016  0.1016  0.1016  1 Al 2.53, 12 Ni 2.54-2.76
Al  0.8984  0.8984  0.8984  1 Al 2.53, 12 Ni 2.54-2.76
Th  0.3495  0.3495  0.3495  18 Ni 2.96-3.31, 1 Al 3.09
Th  0.6505  0.6505  0.6505  18 Ni 2.96-3.31, 1 Al 3.09

Below is an optimized crystal structure of Th3AlNi8, with properties calculated at the PBE-GGA level.

Its formation energy is -411 meV/atom. For the density of states at the Fermi level, the calculation gives 0.68 states/eV/atom.

Unit cell a=5.1024 b=5.1024 c=8.8496 alpha=73.24 beta=73.24 gamma=60.00
With the nearest neighbours (Å) after each atom.
Positions (direct):
Th  0.9890  0.9890  0.0331  9 Ni 2.86-3.06, 1 Al 3.14
Th  0.5076  0.5076  0.4771  12 Ni 2.84-3.06, 3 Al 3.00
Th  0.3787  0.3787  0.8639  12 Ni 2.98-3.06, 4 Th 3.23-3.27
Ni  0.9394  0.4412  0.6800  6 Ni 2.54-2.57, 1 Al 2.69
Ni  0.4350  0.9426  0.1874  6 Ni 2.50-2.60
Ni  0.9426  0.4350  0.1874  6 Ni 2.50-2.60
Ni  0.4350  0.4350  0.1874  6 Ni 2.50-2.60
Ni  0.6890  0.6890  0.9331  6 Ni 2.57-2.60
Ni  0.1895  0.1895  0.4315  6 Ni 2.50-2.55
Ni  0.4412  0.9394  0.6800  6 Ni 2.54-2.57, 1 Al 2.69
Ni  0.9394  0.9394  0.6800  6 Ni 2.54-2.57, 1 Al 2.69
Al  0.8636  0.8636  0.4092  6 Ni 2.69-2.95, 3 Th 3.00

Below is an optimized crystal structure of ThAl12Ni4, with properties calculated at the PBE-GGA level.

Its formation energy is -105 meV/atom. For the density of states at the Fermi level, the calculation gives 0.78 states/eV/atom.

Unit cell a=7.4164 b=7.4164 c=7.4164 alpha=109.47 beta=109.47 gamma=109.47
With the nearest neighbours (Å) after each atom.
Positions (direct):
Ni  0.5000  0.5000  0.5000  6 Al 2.32
Ni  0.0000  0.0000  0.5000  6 Al 2.32
Ni  0.0000  0.5000  0.0000  6 Al 2.32
Ni  0.5000  0.0000  0.0000  6 Al 2.32
Al  0.3334  0.1440  0.8106  2 Ni 2.32
Al  0.6666  0.4771  0.8106  2 Ni 2.32
Al  0.1894  0.3334  0.5229  2 Ni 2.32
Al  0.6666  0.8560  0.1894  2 Ni 2.32
Al  0.8106  0.6666  0.4771  2 Ni 2.32
Al  0.1440  0.8106  0.3334  2 Ni 2.32
Al  0.5229  0.1894  0.3334  2 Ni 2.32
Al  0.8106  0.3334  0.1440  2 Ni 2.32
Al  0.1894  0.6666  0.8560  2 Ni 2.32
Al  0.4771  0.8106  0.6666  2 Ni 2.32
Al  0.3334  0.5229  0.1894  2 Ni 2.32
Al  0.8560  0.1894  0.6666  2 Ni 2.32
Th  0.0000  0.0000  0.0000  12 Al 3.28

Below is an optimized crystal structure of Th3Al7Ni4, with properties calculated at the PBE-GGA level.

Its formation energy is -565 meV/atom. For the density of states at the Fermi level, the calculation gives 0.53 states/eV/atom.

Unit cell a=4.2065 b=7.9795 c=8.4441 alpha=69.31 beta=75.58 gamma=74.72
With the nearest neighbours (Å) after each atom.
Positions (direct):
Al  0.5075  0.7736  0.2115  3 Ni 2.41-2.66
Al  0.0000  0.0000  0.0000  2 Ni 2.68, 6 Al 2.89-2.93
Al  0.6767  0.1680  0.4785  4 Ni 2.51-2.67, 1 Al 2.71
Al  0.4925  0.2264  0.7885  3 Ni 2.41-2.66
Al  0.3233  0.8320  0.5215  4 Ni 2.51-2.67, 1 Al 2.71
Al  0.1583  0.6075  0.0760  3 Ni 2.52-2.63
Al  0.8417  0.3925  0.9240  3 Ni 2.52-2.63
Th  0.3085  0.1851  0.1979  4 Ni 3.02-3.04, 10 Al 3.09-3.26
Th  0.6915  0.8149  0.8021  4 Ni 3.02-3.04, 10 Al 3.09-3.26
Th  0.0000  0.5000  0.5000  6 Ni 2.90-3.19
Ni  0.6604  0.4571  0.2220  5 Al 2.41-2.63
Ni  0.1186  0.1072  0.6555  6 Al 2.51-2.68
Ni  0.3396  0.5429  0.7780  5 Al 2.41-2.63
Ni  0.8814  0.8928  0.3445  6 Al 2.51-2.68

Below is an optimized crystal structure of ThAl4Ni2, with properties calculated at the PBE-GGA level.

Its formation energy is -596 meV/atom. Its excess energy over the best structure of this formula in the dataset is 0 meV per atom. For the density of states at the Fermi level, the calculation gives 0.47 states/eV/atom.

Unit cell a=4.0817 b=6.9041 c=16.7420 alpha=90.00 beta=90.00 gamma=90.00
With the nearest neighbours (Å) after each atom.
Positions (direct):
Al  0.7500  0.4972  0.5968  4 Ni 2.37-2.56
Al  0.2500  0.8419  0.1898  4 Ni 2.41-2.58, 1 Al 2.65
Al  0.2500  0.2757  0.7036  3 Ni 2.39-2.47, 1 Al 2.65
Al  0.7500  0.7176  0.4622  3 Ni 2.42-2.67, 2 Al 2.71
Al  0.2500  0.6581  0.6898  4 Ni 2.41-2.58, 1 Al 2.65
Al  0.7500  0.0028  0.0968  4 Ni 2.37-2.56
Al  0.7500  0.7824  0.9622  3 Ni 2.42-2.67, 2 Al 2.71
Al  0.2500  0.9972  0.9032  4 Ni 2.37-2.56
Al  0.7500  0.7757  0.7964  3 Ni 2.39-2.47, 1 Al 2.65
Al  0.7500  0.1581  0.8102  4 Ni 2.41-2.58, 1 Al 2.65
Al  0.2500  0.2176  0.0378  3 Ni 2.42-2.67, 2 Al 2.71
Al  0.2500  0.5028  0.4032  4 Ni 2.37-2.56
Al  0.2500  0.2243  0.2036  3 Ni 2.39-2.47, 1 Al 2.65
Al  0.2500  0.2824  0.5378  3 Ni 2.42-2.67, 2 Al 2.71
Al  0.7500  0.3419  0.3102  4 Ni 2.41-2.58, 1 Al 2.65
Al  0.7500  0.7243  0.2964  3 Ni 2.39-2.47, 1 Al 2.65
Ni  0.2500  0.6696  0.5377  7 Al 2.42-2.67
Ni  0.7500  0.1696  0.9623  7 Al 2.42-2.67
Ni  0.7500  0.4602  0.7378  7 Al 2.37-2.58
Ni  0.2500  0.8304  0.0377  7 Al 2.42-2.67
Ni  0.7500  0.3304  0.4623  7 Al 2.42-2.67
Ni  0.7500  0.0398  0.2378  7 Al 2.37-2.58
Ni  0.2500  0.5398  0.2622  7 Al 2.37-2.58
Ni  0.2500  0.9602  0.7622  7 Al 2.37-2.58
Th  0.2500  0.4850  0.8834  11 Al 3.18-3.55, 5 Ni 3.18-3.52
Th  0.7500  0.9850  0.6166  11 Al 3.18-3.55, 5 Ni 3.18-3.52
Th  0.7500  0.5150  0.1166  11 Al 3.18-3.55, 5 Ni 3.18-3.52
Th  0.2500  0.0150  0.3834  11 Al 3.18-3.55, 5 Ni 3.18-3.52

Below is an optimized crystal structure of ThAl2Ni, with properties calculated at the PBE-GGA level.

Its formation energy is -497 meV/atom. For the density of states at the Fermi level, the calculation gives 0.83 states/eV/atom.

Unit cell a=4.3409 b=8.9487 c=9.4676 alpha=118.20 beta=103.25 gamma=90.00
With the nearest neighbours (Å) after each atom.
Positions (direct):
Ni  0.1481  0.4049  0.2962  4 Al 2.45-2.50
Ni  0.8519  0.5951  0.7038  4 Al 2.45-2.50
Ni  0.8519  0.1087  0.7038  4 Al 2.45-2.50
Ni  0.1481  0.8913  0.2962  4 Al 2.45-2.50
Th  0.5000  0.2662  0.0000  10 Al 3.20-3.52, 4 Ni 3.23
Th  0.7093  0.7093  0.4186  9 Al 3.03-3.28, 6 Ni 3.23-3.25
Th  0.5000  0.7338  0.0000  10 Al 3.20-3.52, 4 Ni 3.23
Th  0.2907  0.2907  0.5814  9 Al 3.03-3.28, 6 Ni 3.23-3.25
Al  0.3115  0.6577  0.6231  2 Ni 2.45
Al  0.0779  0.5779  0.1559  2 Ni 2.45, 1 Al 2.51
Al  0.3115  0.9654  0.6231  2 Ni 2.45
Al  0.9221  0.4221  0.8441  2 Ni 2.45, 1 Al 2.51
Al  0.0874  0.0874  0.1748  2 Ni 2.50
Al  0.6885  0.0346  0.3769  2 Ni 2.45
Al  0.9126  0.9126  0.8252  2 Ni 2.50
Al  0.6885  0.3423  0.3769  2 Ni 2.45

Below is an optimized crystal structure of ThAl3Ni2, with properties calculated at the PBE-GGA level.

Its formation energy is -584 meV/atom. Its excess energy over the best structure of this formula in the dataset is 70 meV per atom. For the density of states at the Fermi level, the calculation gives 0.49 states/eV/atom.

Unit cell a=5.1367 b=6.3445 c=6.3445 alpha=103.21 beta=90.00 gamma=90.00
With the nearest neighbours (Å) after each atom.
Positions (direct):
Al  0.2500  0.9127  0.5284  4 Ni 2.39-2.55, 1 Al 2.60
Al  0.2500  0.5284  0.9127  4 Ni 2.39-2.55, 1 Al 2.60
Al  0.7500  0.4716  0.0873  4 Ni 2.39-2.55, 1 Al 2.60
Al  0.7500  0.0553  0.0553  4 Ni 2.46, 4 Al 2.60-2.71
Al  0.7500  0.0873  0.4716  4 Ni 2.39-2.55, 1 Al 2.60
Al  0.2500  0.9447  0.9447  4 Ni 2.46, 4 Al 2.60-2.71
Th  0.2500  0.3432  0.3432  9 Al 3.14-3.43, 4 Ni 3.43
Th  0.7500  0.6568  0.6568  9 Al 3.14-3.43, 4 Ni 3.43
Ni  0.0000  0.7942  0.2058  6 Al 2.39-2.55, 2 Ni 2.57
Ni  0.0000  0.2058  0.7942  6 Al 2.39-2.55, 2 Ni 2.57
Ni  0.5000  0.7942  0.2058  6 Al 2.39-2.55, 2 Ni 2.57
Ni  0.5000  0.2058  0.7942  6 Al 2.39-2.55, 2 Ni 2.57

Below is an optimized crystal structure of ThAl2Ni6, with properties calculated at the PBE-GGA level.

Its formation energy is -235 meV/atom. For the density of states at the Fermi level, the calculation gives 1.01 states/eV/atom.

Unit cell a=3.4960 b=7.0238 c=7.0238 alpha=52.93 beta=75.59 gamma=75.59
With the nearest neighbours (Å) after each atom.
Positions (direct):
Th  0.0000  0.0000  0.0000  4 Ni 2.67
Ni  0.5000  0.3218  0.6782  3 Ni 2.23-2.39
Ni  0.5000  0.6782  0.3218  3 Ni 2.23-2.39
Ni  0.6878  0.0148  0.6096  4 Ni 2.38-2.54, 3 Al 2.50-2.64
Ni  0.3122  0.9852  0.3904  4 Ni 2.38-2.54, 3 Al 2.50-2.64
Ni  0.3122  0.3904  0.9852  4 Ni 2.38-2.54, 3 Al 2.50-2.64
Ni  0.6878  0.6096  0.0148  4 Ni 2.38-2.54, 3 Al 2.50-2.64
Al  0.1335  0.3665  0.3665  10 Ni 2.50-2.64
Al  0.8665  0.6335  0.6335  10 Ni 2.50-2.64

Below is an optimized crystal structure of ThAl7Ni2, with properties calculated at the PBE-GGA level.

Its formation energy is -172 meV/atom. For the density of states at the Fermi level, the calculation gives 0.50 states/eV/atom.

Unit cell a=4.3955 b=6.6563 c=6.6563 alpha=101.63 beta=90.00 gamma=90.00
With the nearest neighbours (Å) after each atom.
Positions (direct):
Al  0.5000  0.5000  0.5000  2 Ni 2.44, 4 Al 2.63
Al  0.5000  0.1018  0.3571  2 Ni 2.39-2.54, 3 Al 2.55-2.63
Al  0.5000  0.6429  0.8982  2 Ni 2.39-2.54, 3 Al 2.55-2.63
Al  0.5000  0.3571  0.1018  2 Ni 2.39-2.54, 3 Al 2.55-2.63
Al  0.0000  0.6690  0.3310  2 Ni 2.31
Al  0.5000  0.8982  0.6429  2 Ni 2.39-2.54, 3 Al 2.55-2.63
Al  0.0000  0.3310  0.6690  2 Ni 2.31
Th  0.0000  0.0000  0.0000  10 Al 3.21-3.42, 4 Ni 3.50
Ni  0.5000  0.2635  0.7365  7 Al 2.31-2.54
Ni  0.5000  0.7365  0.2635  7 Al 2.31-2.54